No. 1
First-principles (GGA-PBE) data for CaTaBi2O8 after structural relaxation, as listed in Alexandria.

Geometry as extended XYZ:
```
12
Lattice="5.020 0.000 0.000 0.000 6.851 0.000 -0.128 0.000 5.021" Properties=species:S:1:pos:R:3 pbc="T T T"
Ca 0.000 0.000 0.000
Ta 0.000 3.425 0.000
Bi 2.446 1.725 2.510
Bi 2.446 5.125 2.510
O 0.924 1.950 0.944
O 0.924 4.900 0.944
O 1.365 3.425 3.561
O 1.495 0.000 3.431
O 3.397 0.000 1.590
O 3.527 3.425 1.460
O 3.967 1.950 4.077
O 3.967 4.900 4.077
```

Properties
ΔE_f (raw) = -1.840 eV per atom
E = -6.947 eV/atom

---

No. 2
First-principles (GGA-PBE) data for K2MgSc after structural relaxation, as listed in Alexandria.

Geometry as extended XYZ:
```
4
Lattice="3.545 -6.263 0.000 3.545 6.263 0.000 0.000 0.000 3.503" Properties=species:S:1:pos:R:3 pbc="T T T"
K 1.772 3.131 0.000
K 1.772 -3.131 0.000
Mg 0.000 0.000 1.752
Sc 3.545 0.000 1.752
```

Properties
E = -1.981 eV/atom
energy relative to the elements = 549 meV per atom

---

No. 3
First-principles (GGA-PBE) data for Zr3H12Rh5 after structural relaxation, as listed in Alexandria.

Geometry as extended XYZ:
```
80
Lattice="-5.628 5.628 5.628 5.628 -5.628 5.628 5.628 5.628 -5.628" Properties=species:S:1:pos:R:3 pbc="T T T"
Zr 2.814 1.407 0.000
Zr 5.628 2.814 -1.407
Zr 1.407 0.000 2.814
Zr 7.036 0.000 2.814
Zr 0.000 2.814 1.407
Zr 2.814 -1.407 5.628
Zr 2.814 7.036 0.000
Zr 5.628 2.814 4.221
Zr -1.407 5.628 2.814
Zr 4.221 5.628 2.814
Zr 0.000 2.814 7.036
Zr 2.814 4.221 5.628
H 1.641 -0.287 0.670
H 6.801 3.484 -3.102
H 7.270 0.287 0.670
H 6.801 -2.145 3.102
H 5.341 -0.670 1.641
H 8.730 -1.173 2.145
H 0.670 1.641 -0.287
H 7.773 2.527 -1.173
H 3.484 3.102 -1.173
H 4.959 1.641 0.287
H -0.287 0.670 1.641
H 3.102 -1.173 3.484
H 5.341 4.959 -1.641
H 3.102 1.173 2.145
H 3.484 -3.102 6.801
H 4.959 -1.641 5.341
H 2.145 3.102 1.173
H 6.298 3.987 0.287
H 3.102 6.801 -2.145
H 5.341 0.670 3.987
H 1.641 5.341 -0.670
H 6.801 2.145 2.527
H 1.173 2.145 3.102
H 1.641 0.287 4.959
H 3.987 5.341 0.670
H 4.455 3.484 2.527
H -1.173 3.484 3.102
H 3.987 0.287 6.298
H 0.287 4.959 1.641
H 2.527 -1.173 7.773
H -0.670 1.641 5.341
H 3.484 2.527 4.455
H 0.670 7.270 0.287
H 2.145 8.730 -1.173
H 2.527 4.455 3.484
H 0.287 0.670 7.270
H 2.527 6.801 2.145
H 5.916 4.959 3.987
H 0.670 3.987 5.341
H 2.145 2.527 6.801
H -2.145 3.102 6.801
H 4.959 3.987 5.916
H -3.102 6.801 3.484
H 0.287 6.298 3.987
H -1.173 7.773 2.527
H -1.641 5.341 4.959
H -1.173 2.145 8.730
H 3.987 5.916 4.959
Rh 0.000 0.000 0.000
Rh 2.814 2.814 -2.814
Rh 2.814 -2.814 2.814
Rh 5.628 0.000 0.000
Rh 8.443 1.407 0.000
Rh 5.628 -2.814 4.221
Rh 4.221 5.628 -2.814
Rh 4.221 0.000 2.814
Rh 2.814 4.221 0.000
Rh 5.628 2.814 1.407
Rh -2.814 2.814 2.814
Rh 0.000 5.628 0.000
Rh 0.000 0.000 5.628
Rh 2.814 2.814 2.814
Rh 0.000 2.814 4.221
Rh 2.814 1.407 5.628
Rh 1.407 5.628 2.814
Rh 1.407 0.000 8.443
Rh 0.000 8.443 1.407
Rh -2.814 4.221 5.628
```

Properties
E = -5.384 eV/atom

---

No. 4
First-principles (GGA-PBE) data for CePd2Pt after structural relaxation, as listed in Alexandria.

Geometry as extended XYZ:
```
4
Lattice="4.158 0.000 0.000 0.000 4.158 0.000 0.000 0.000 4.176" Properties=species:S:1:pos:R:3 pbc="T T T"
Ce 0.000 0.000 0.000
Pd 0.000 2.079 2.088
Pd 2.079 0.000 2.088
Pt 2.079 2.079 0.000
```

Properties
E = -6.483 eV/atom
energy relative to the elements = -893 meV per atom